Density functional theory data (PBE) for a relaxed structure of Dy5Tm2Sc.

CIF file:
```
data_Dy5Tm2Sc
_chemical_formula_sum 'Dy20 Tm8 Sc4'
_symmetry_space_group_name_H-M 'I 4/m c m'
_symmetry_Int_Tables_number 140
_symmetry_space_group_name_Hall '-I 4 2c'
_cell_length_a 8.909
_cell_length_b 8.909
_cell_length_c 12.202
_cell_angle_alpha 90.00
_cell_angle_beta 90.00
_cell_angle_gamma 90.00
loop_
_atom_site_label
_atom_site_type_symbol
_atom_site_fract_x
_atom_site_fract_y
_atom_site_fract_z
Dy1 Dy 0.000 0.000 0.000
Dy2 Dy 0.152 0.348 0.165
Tm1 Tm 0.142 0.358 0.500
Sc1 Sc 0.000 0.000 0.250
```

Values from the calculation:
The calculated total energy is -149.84 eV for the cell shown. The value obtained for the formation energy is 80 kJ/mol of formula units.

---

Density functional theory data (PBE) for a relaxed structure of Dy4Tm8Sc.

CIF file:
```
data_Dy4Tm8Sc
_chemical_formula_sum 'Dy12 Tm24 Sc3'
_symmetry_space_group_name_H-M 'R -3 m'
_symmetry_Int_Tables_number 166
_symmetry_space_group_name_Hall '-R 3 2"'
_cell_length_a 7.3652
_cell_length_b 7.3652
_cell_length_c 25.3810
_cell_angle_alpha 90.00
_cell_angle_beta 90.00
_cell_angle_gamma 120.00
loop_
_atom_site_label
_atom_site_type_symbol
_atom_site_fract_x
_atom_site_fract_y
_atom_site_fract_z
Dy1 Dy 0.0000 0.0000 0.0000
Dy2 Dy 0.0000 0.5000 0.0000
Tm1 Tm 0.0000 0.0000 0.2213
Tm2 Tm 0.0418 0.5209 0.7753
Sc1 Sc 0.0000 0.0000 0.5000
```

Values from the calculation:
The calculated total energy is -173.73 eV for the cell shown. The value obtained for the formation energy is 251 kJ/mol of formula units.

---

Density functional theory data (PBE) for a relaxed structure of Dy3Tm3Sc2.

CIF file:
```
data_Dy3Tm3Sc2
_chemical_formula_sum 'Dy6 Tm6 Sc4'
_symmetry_space_group_name_H-M 'C 1 2/m 1'
_symmetry_Int_Tables_number 12
_cell_length_a 16.653
_cell_length_b 5.375
_cell_length_c 5.559
_cell_angle_alpha 90.00
_cell_angle_beta 108.58
_cell_angle_gamma 90.00
loop_
_symmetry_equiv_pos_as_xyz
'x,y,z'
'-x,-y,-z'
'-x,y,-z'
'x,-y,z'
'x+1/2,y+1/2,z'
'-x+1/2,-y+1/2,-z'
'-x+1/2,y+1/2,-z'
'x+1/2,-y+1/2,z'
loop_
_atom_site_label
_atom_site_type_symbol
_atom_site_fract_x
_atom_site_fract_y
_atom_site_fract_z
Dy1 Dy 0.000 0.000 0.000
Dy2 Dy 0.140 0.000 0.684
Tm1 Tm 0.000 0.500 0.500
Tm2 Tm 0.139 0.500 0.101
Sc1 Sc 0.250 0.000 0.306
```

Values from the calculation:
The calculated total energy is -78.31 eV for the cell shown. The value obtained for the formation energy is 70 kJ/mol of formula units.

---

Density functional theory data (PBE) for a relaxed structure of Dy5Tm2Sc12.

CIF file:
```
data_Dy5Tm2Sc12
_chemical_formula_sum 'Dy10 Tm4 Sc24'
_symmetry_space_group_name_H-M 'C 1 2/m 1'
_symmetry_Int_Tables_number 12
_cell_length_a 14.626
_cell_length_b 8.652
_cell_length_c 8.223
_cell_angle_alpha 90.00
_cell_angle_beta 93.19
_cell_angle_gamma 90.00
loop_
_symmetry_equiv_pos_as_xyz
'x,y,z'
'-x,-y,-z'
'-x,y,-z'
'x,-y,z'
'x+1/2,y+1/2,z'
'-x+1/2,-y+1/2,-z'
'-x+1/2,y+1/2,-z'
'x+1/2,-y+1/2,z'
loop_
_atom_site_label
_atom_site_type_symbol
_atom_site_fract_x
_atom_site_fract_y
_atom_site_fract_z
Dy1 Dy 0.000 0.000 0.000
Dy2 Dy 0.213 0.500 0.515
Dy3 Dy 0.235 0.000 0.073
Tm1 Tm 0.000 0.322 0.500
Sc1 Sc 0.052 0.500 0.838
Sc2 Sc 0.068 0.000 0.371
Sc3 Sc 0.130 0.311 0.168
Sc4 Sc 0.146 0.178 0.747
```

Values from the calculation:
The calculated total energy is -210.99 eV for the cell shown. The value obtained for the formation energy is 235 kJ/mol of formula units.

---

Question: The highest calculated total energy belongs to which entry?
Answer: Dy3Tm3Sc2

---

Question: Which value of calculated total energy does entry 2 give?
Answer: -173.73 eV for the cell shown